<P>
Crystalline BaLiBe2 at its relaxed geometry, computed with PBE.

Properties
- density of states at the Fermi level (states/eV per atom) = 0.734
- V (Å³/cell) = 88.98
- calculated density (g/cm³) = 3.03

Unit cell a=6.248 b=6.248 c=6.248 alpha=39.54 beta=39.54 gamma=39.54
Sites, in units of the cell vectors:
Ba1 0.000 0.000 0.000
Li1 0.500 0.500 0.500
Be1 0.179 0.179 0.179
Be2 0.821 0.821 0.821


<Q>
Crystalline BaLiBe2 at its relaxed geometry, computed with PBE.

Properties
- density of states at the Fermi level (states/eV per atom) = 1.316
- V (Å³/cell) = 92.76
- calculated density (g/cm³) = 2.91

Unit cell a=5.081 b=5.081 c=5.081 alpha=60.00 beta=60.00 gamma=60.00
Sites, in units of the cell vectors:
Ba1 0.000 0.000 0.000
Li1 0.500 0.500 0.500
Be1 0.250 0.250 0.250
Be2 0.750 0.750 0.750


Energy relative to the most stable one, in meV/atom: <P> 0; <Q> 365


<P>
Crystalline BaLiBe3 at its relaxed geometry, computed with PBE.

Properties
- density of states at the Fermi level (states/eV per atom) = 0.945
- V (Å³/cell) = 97.40
- calculated density (g/cm³) = 2.92

Unit cell a=4.601 b=4.601 c=4.601 alpha=90.00 beta=90.00 gamma=90.00
Sites, in units of the cell vectors:
Ba1 0.000 0.000 0.000
Li1 0.500 0.500 0.500
Be1 0.000 0.500 0.500
Be2 0.500 0.000 0.500
Be3 0.500 0.500 0.000


<Q>
Crystalline BaLiBe3 at its relaxed geometry, computed with PBE.

Properties
- density of states at the Fermi level (states/eV per atom) = 1.039
- V (Å³/cell) = 181.89
- calculated density (g/cm³) = 1.56

Unit cell a=5.666 b=5.666 c=5.666 alpha=90.00 beta=90.00 gamma=90.00
Sites, in units of the cell vectors:
Ba1 0.000 0.000 0.000
Li1 0.500 0.500 0.500
Be1 0.000 0.000 0.500
Be2 0.000 0.500 0.000
Be3 0.500 0.000 0.000


Energy relative to the most stable one, in meV/atom: <P> 0; <Q> 1070


<P>
Crystalline BaLiBe at its relaxed geometry, computed with PBE.

Properties
- density of states at the Fermi level (states/eV per atom) = 1.130
- V (Å³/cell) = 87.15
- calculated density (g/cm³) = 2.92

Unit cell a=4.809 b=4.809 c=4.352 alpha=90.00 beta=90.00 gamma=120.00
Sites, in units of the cell vectors:
Ba1 0.000 0.000 0.000
Li1 0.667 0.333 0.500
Be1 0.333 0.667 0.500


<Q>
Crystalline BaLiBe at its relaxed geometry, computed with PBE.

Properties
- density of states at the Fermi level (states/eV per atom) = 0.909
- V (Å³/cell) = 100.63
- calculated density (g/cm³) = 2.53

Unit cell a=5.221 b=5.221 c=5.221 alpha=60.00 beta=60.00 gamma=60.00
Sites, in units of the cell vectors:
Ba1 0.000 0.000 0.000
Li1 0.500 0.500 0.500
Be1 0.750 0.750 0.750


<R>
Crystalline BaLiBe at its relaxed geometry, computed with PBE.

Properties
- density of states at the Fermi level (states/eV per atom) = 0.703
- V (Å³/cell) = 78.48
- calculated density (g/cm³) = 3.24

Unit cell a=6.264 b=6.264 c=6.264 alpha=145.50 beta=145.50 gamma=49.59
Sites, in units of the cell vectors:
Ba1 0.000 0.000 0.000
Li1 0.271 0.271 0.000
Be1 0.688 0.688 0.000


Energy relative to the most stable one, in meV/atom: <P> 0; <Q> 133; <R> 13


<P>
Crystalline BaLi3Be at its relaxed geometry, computed with PBE.

Properties
- density of states at the Fermi level (states/eV per atom) = 0.992
- V (Å³/cell) = 178.47
- calculated density (g/cm³) = 1.56

Unit cell a=5.630 b=5.630 c=5.630 alpha=90.00 beta=90.00 gamma=90.00
Sites, in units of the cell vectors:
Ba1 0.000 0.000 0.000
Li1 0.000 0.000 0.500
Li2 0.000 0.500 0.000
Li3 0.500 0.000 0.000
Be1 0.500 0.500 0.500


<Q>
Crystalline BaLi3Be at its relaxed geometry, computed with PBE.

Properties
- density of states at the Fermi level (states/eV per atom) = 1.115
- V (Å³/cell) = 126.86
- calculated density (g/cm³) = 2.19

Unit cell a=5.025 b=5.025 c=5.025 alpha=90.00 beta=90.00 gamma=90.00
Sites, in units of the cell vectors:
Ba1 0.000 0.000 0.000
Li1 0.000 0.500 0.500
Li2 0.500 0.000 0.500
Li3 0.500 0.500 0.000
Be1 0.500 0.500 0.500


Energy relative to the most stable one, in meV/atom: <P> 1217; <Q> 0


<P>
Crystalline BaLi2BePt at its relaxed geometry, computed with PBE.

Properties
- density of states at the Fermi level (states/eV per atom) = 0.597
- V (Å³/cell) = 110.36
- calculated density (g/cm³) = 5.35

Unit cell a=4.945 b=4.945 c=4.513 alpha=90.00 beta=90.00 gamma=90.00
Sites, in units of the cell vectors:
Ba1 0.000 0.000 0.000
Li1 0.000 0.500 0.500
Li2 0.500 0.000 0.500
Be1 0.500 0.500 0.000
Pt1 0.500 0.500 0.500


<Q>
Crystalline BaLi2BePt at its relaxed geometry, computed with PBE.

Properties
- density of states at the Fermi level (states/eV per atom) = 0.473
- V (Å³/cell) = 104.36
- calculated density (g/cm³) = 5.65

Unit cell a=4.812 b=4.812 c=4.508 alpha=90.00 beta=90.00 gamma=90.00
Sites, in units of the cell vectors:
Ba1 0.000 0.000 0.000
Li1 0.000 0.500 0.500
Li2 0.500 0.000 0.500
Be1 0.500 0.500 0.500
Pt1 0.500 0.500 0.000


Energy relative to the most stable one, in meV/atom: <P> 0; <Q> 20


<P>
Crystalline BaMg3Be at its relaxed geometry, computed with PBE.

Properties
- density of states at the Fermi level (states/eV per atom) = 0.339
- V (Å³/cell) = 130.15
- calculated density (g/cm³) = 2.80

Unit cell a=5.068 b=5.068 c=5.068 alpha=90.00 beta=90.00 gamma=90.00
Sites, in units of the cell vectors:
Ba1 0.000 0.000 0.000
Mg1 0.000 0.500 0.500
Mg2 0.500 0.000 0.500
Mg3 0.500 0.500 0.000
Be1 0.500 0.500 0.500


<Q>
Crystalline BaMg3Be at its relaxed geometry, computed with PBE.

Properties
- density of states at the Fermi level (states/eV per atom) = 1.499
- V (Å³/cell) = 335.25
- calculated density (g/cm³) = 1.09

Unit cell a=6.947 b=6.947 c=6.947 alpha=90.00 beta=90.00 gamma=90.00
Sites, in units of the cell vectors:
Ba1 0.000 0.000 0.000
Mg1 0.000 0.000 0.500
Mg2 0.000 0.500 0.000
Mg3 0.500 0.000 0.000
Be1 0.500 0.500 0.500


Energy relative to the most stable one, in meV/atom: <P> 0; <Q> 1398


<P>
Crystalline BaMn3Be at its relaxed geometry, computed with PBE.

Properties
- density of states at the Fermi level (states/eV per atom) = 1.183
- V (Å³/cell) = 138.55
- calculated density (g/cm³) = 3.73

Unit cell a=5.175 b=5.175 c=5.175 alpha=90.00 beta=90.00 gamma=90.00
Sites, in units of the cell vectors:
Ba1 0.000 0.000 0.000
Mn1 0.000 0.000 0.500
Mn2 0.000 0.500 0.000
Mn3 0.500 0.000 0.000
Be1 0.500 0.500 0.500


<Q>
Crystalline BaMn3Be at its relaxed geometry, computed with PBE.

Properties
- density of states at the Fermi level (states/eV per atom) = 1.088
- V (Å³/cell) = 100.51
- calculated density (g/cm³) = 5.14

Unit cell a=4.650 b=4.650 c=4.650 alpha=90.00 beta=90.00 gamma=90.00
Sites, in units of the cell vectors:
Ba1 0.000 0.000 0.000
Mn1 0.000 0.500 0.500
Mn2 0.500 0.000 0.500
Mn3 0.500 0.500 0.000
Be1 0.500 0.500 0.500


Energy relative to the most stable one, in meV/atom: <P> 1733; <Q> 0